No. 1
Computed, not measured: Ho3Si3Rh2 after structural relaxation at the PBE-GGA level of DFT.

Calculated values
- DFT total energy (eV/atom) = -6.595
- DOS at the Fermi energy (states/eV per cell) = 8.0
- energy relative to the lowest polymorph listed for this composition (meV per atom) = 0

```
Ho3Si3Rh2
1.0
-2.322 -3.450 -0.365
5.107 -0.652 -2.461
5.093 -4.680 11.813
Ho Rh Si
6 4 6
Direct
0.079 0.158 0.614
0.356 0.712 0.750
0.921 0.842 0.386
0.644 0.288 0.250
0.921 0.842 0.114
0.079 0.158 0.886
0.214 0.429 0.081
0.214 0.429 0.419
0.786 0.571 0.581
0.786 0.571 0.919
0.337 0.673 0.250
0.609 0.218 0.461
0.391 0.782 0.961
0.663 0.327 0.750
0.609 0.218 0.039
0.391 0.782 0.539
```

=====

No. 2
Computed, not measured: HoSi3Rh3 after structural relaxation at the PBE-GGA level of DFT.

Calculated values
- DFT total energy (eV/atom) = -6.594
- DOS at the Fermi energy (states/eV per cell) = 10.9
- energy relative to the lowest polymorph listed for this composition (meV per atom) = 282

```
HoSi3Rh3
1.0
-1.943 3.601 5.018
-6.092 -1.985 -0.934
1.018 -5.002 3.984
Rh Si Ho
6 6 2
Direct
0.250 0.000 0.500
0.500 0.750 0.000
0.000 0.500 0.250
0.000 0.500 0.750
0.500 0.250 0.000
0.750 0.000 0.500
0.000 0.750 0.500
0.500 0.000 0.250
0.500 0.000 0.750
0.250 0.500 0.000
0.750 0.500 0.000
0.000 0.250 0.500
0.500 0.500 0.500
0.000 0.000 0.000
```

=====

No. 3
Computed, not measured: HoSi2Rh3 after structural relaxation at the PBE-GGA level of DFT.

Calculated values
- DFT total energy (eV/atom) = -7.093
- DOS at the Fermi energy (states/eV per cell) = 5.5
- energy relative to the lowest polymorph listed for this composition (meV per atom) = 179

```
HoSi2Rh3
1.0
5.431 -0.023 -0.025
0.025 5.995 -0.092
0.025 -0.657 5.960
Si Ho Rh
4 2 6
Direct
0.500 0.225 0.775
0.500 0.775 0.225
0.000 0.225 0.775
0.000 0.775 0.225
0.250 0.340 0.340
0.750 0.660 0.660
0.750 0.004 0.004
0.750 0.118 0.465
0.250 0.882 0.535
0.750 0.465 0.118
0.250 0.535 0.882
0.250 0.996 0.996
```

=====

No. 4
Computed, not measured: Ho3Si3Rh after structural relaxation at the PBE-GGA level of DFT.

Calculated values
- DFT total energy (eV/atom) = -6.276
- DOS at the Fermi energy (states/eV per cell) = 7.9

```
Ho3Si3Rh
1.0
4.167 0.000 0.628
2.056 5.261 0.497
0.203 0.040 12.799
Si Ho Rh
6 6 2
Direct
0.114 0.847 0.925
0.871 0.714 0.544
0.129 0.286 0.456
0.047 0.143 0.764
0.953 0.857 0.236
0.886 0.153 0.075
0.602 0.717 0.079
0.478 0.668 0.375
0.256 0.260 0.227
0.522 0.332 0.625
0.744 0.740 0.773
0.398 0.283 0.921
0.247 0.921 0.585
0.753 0.079 0.415
```

=====

No. 5
Computed, not measured: HoSi3Rh5 after structural relaxation at the PBE-GGA level of DFT.

Calculated values
- DFT total energy (eV/atom) = -7.378
- DOS at the Fermi energy (states/eV per cell) = 26.4
- energy relative to the lowest polymorph listed for this composition (meV per atom) = 0

```
HoSi3Rh5
1.0
-3.805 -9.870 -11.461
14.800 4.609 1.730
0.658 -3.001 2.366
Si Rh Ho
18 30 6
Direct
0.432 0.371 0.750
0.939 0.568 0.750
0.250 0.119 0.250
0.442 0.760 0.750
0.750 0.881 0.750
0.558 0.240 0.250
0.681 0.442 0.250
0.240 0.681 0.750
0.119 0.869 0.750
0.881 0.131 0.250
0.131 0.250 0.750
0.629 0.061 0.750
0.319 0.558 0.750
0.869 0.750 0.250
0.371 0.939 0.250
0.568 0.629 0.250
0.061 0.432 0.250
0.760 0.319 0.250
0.653 0.223 0.750
0.888 0.861 0.750
0.925 0.461 0.250
0.586 0.739 0.750
0.075 0.539 0.750
0.461 0.536 0.750
0.347 0.777 0.250
0.261 0.847 0.750
0.028 0.888 0.250
0.739 0.153 0.250
0.729 0.773 0.250
0.223 0.571 0.250
0.847 0.586 0.250
0.972 0.112 0.750
0.429 0.653 0.250
0.464 0.925 0.750
0.777 0.429 0.750
0.227 0.956 0.250
0.539 0.464 0.250
0.112 0.139 0.250
0.861 0.972 0.250
0.153 0.414 0.750
0.536 0.075 0.250
0.139 0.028 0.750
0.044 0.271 0.250
0.571 0.347 0.750
0.414 0.261 0.250
0.271 0.227 0.750
0.956 0.729 0.750
0.773 0.044 0.750
0.706 0.606 0.750
0.100 0.706 0.250
0.606 0.900 0.250
0.394 0.100 0.750
0.294 0.394 0.250
0.900 0.294 0.750
```

=====

No. 6
Computed, not measured: Ho2Si2Rh5 after structural relaxation at the PBE-GGA level of DFT.

Calculated values
- DFT total energy (eV/atom) = -7.214
- DOS at the Fermi energy (states/eV per cell) = 6.6

```
Ho2Si2Rh5
1.0
4.126 0.000 0.000
0.000 4.126 0.000
0.000 0.000 8.754
Rh Si Ho
5 2 2
Direct
0.000 0.500 0.264
0.000 0.500 0.736
0.500 0.000 0.264
0.500 0.500 0.500
0.500 0.000 0.736
0.500 0.500 0.139
0.500 0.500 0.861
0.000 0.000 0.500
0.000 0.000 0.000
```

=====

No. 7
Computed, not measured: Ho3Si2Rh3 after structural relaxation at the PBE-GGA level of DFT.

Calculated values
- DFT total energy (eV/atom) = -6.867
- DOS at the Fermi energy (states/eV per cell) = 17.7

```
Ho3Si2Rh3
1.0
-0.358 0.744 -5.455
-1.501 -7.299 -0.897
-14.408 2.799 1.328
Rh Ho Si
12 12 8
Direct
0.598 0.330 0.037
0.902 0.830 0.037
0.402 0.670 0.537
0.098 0.170 0.963
0.903 0.819 0.750
0.598 0.330 0.463
0.402 0.670 0.963
0.403 0.681 0.250
0.902 0.830 0.463
0.098 0.170 0.537
0.097 0.181 0.250
0.597 0.319 0.750
0.634 0.026 0.893
0.891 0.831 0.250
0.366 0.974 0.393
0.134 0.474 0.393
0.391 0.669 0.750
0.109 0.169 0.750
0.866 0.526 0.893
0.634 0.026 0.607
0.609 0.331 0.250
0.134 0.474 0.107
0.366 0.974 0.107
0.866 0.526 0.607
0.128 0.877 0.604
0.628 0.623 0.104
0.128 0.877 0.896
0.372 0.377 0.604
0.872 0.123 0.104
0.628 0.623 0.396
0.872 0.123 0.396
0.372 0.377 0.896
```

=====

No. 8
Computed, not measured: HoSi2Rh after structural relaxation at the PBE-GGA level of DFT.

Calculated values
- DFT total energy (eV/atom) = -6.581
- DOS at the Fermi energy (states/eV per cell) = 1.0

```
HoSi2Rh
1.0
4.069 0.000 0.000
2.035 3.524 0.000
2.035 1.175 4.871
Si Rh Ho
2 1 1
Direct
0.713 0.713 0.861
0.287 0.287 0.139
0.000 0.000 0.000
0.500 0.500 0.500
```

=====

No. 9
Computed, not measured: HoSi2Rh3 after structural relaxation at the PBE-GGA level of DFT.

Calculated values
- DFT total energy (eV/atom) = -7.271
- DOS at the Fermi energy (states/eV per cell) = 0.9
- energy relative to the lowest polymorph listed for this composition (meV per atom) = 0

```
HoSi2Rh3
1.0
-3.599 0.435 4.164
3.261 -4.439 -0.378
2.542 1.696 2.020
Si Rh Ho
2 3 1
Direct
0.667 0.333 0.000
0.333 0.667 0.000
0.000 0.500 0.500
0.500 0.000 0.500
0.500 0.500 0.500
0.000 0.000 0.000
```

=====

No. 10
Computed, not measured: Ho3Si2Rh after structural relaxation at the PBE-GGA level of DFT.

Calculated values
- DFT total energy (eV/atom) = -6.163
- DOS at the Fermi energy (states/eV per cell) = 15.7

```
Ho3Si2Rh
1.0
4.162 0.000 0.000
0.000 11.128 0.000
0.000 0.000 11.492
Rh Ho Si
4 12 8
Direct
0.750 0.868 0.870
0.250 0.368 0.630
0.250 0.132 0.130
0.750 0.632 0.370
0.750 0.874 0.445
0.750 0.626 0.945
0.250 0.801 0.718
0.750 0.557 0.621
0.250 0.443 0.379
0.250 0.699 0.218
0.250 0.057 0.879
0.250 0.126 0.555
0.250 0.374 0.055
0.750 0.301 0.782
0.750 0.199 0.282
0.750 0.943 0.121
0.750 0.313 0.515
0.750 0.500 0.192
0.750 0.187 0.015
0.250 0.000 0.308
0.250 0.500 0.808
0.250 0.687 0.485
0.750 0.000 0.692
0.250 0.813 0.985
```

=====

No. 11
Computed, not measured: Ho3Si2Rh6 after structural relaxation at the PBE-GGA level of DFT.

Calculated values
- DFT total energy (eV/atom) = -7.078
- DOS at the Fermi energy (states/eV per cell) = 15.5

```
Ho3Si2Rh6
1.0
-7.486 -2.369 1.631
4.532 -6.407 -1.650
3.028 3.852 6.349
Si Rh Ho
4 12 6
Direct
0.500 0.000 0.000
0.000 0.500 0.000
0.000 0.000 0.500
0.500 0.500 0.500
0.000 0.313 0.687
0.313 0.687 0.000
0.687 0.313 0.000
0.627 0.313 0.313
0.687 0.687 0.373
0.000 0.687 0.313
0.687 0.000 0.313
0.313 0.627 0.313
0.373 0.687 0.687
0.313 0.313 0.627
0.313 0.000 0.687
0.687 0.373 0.687
0.706 0.000 0.706
0.706 0.706 0.000
0.294 0.000 0.294
0.000 0.294 0.294
0.294 0.294 0.000
0.000 0.706 0.706
```

=====

No. 12
Computed, not measured: Ho3Si2Rh5 after structural relaxation at the PBE-GGA level of DFT.

Calculated values
- DFT total energy (eV/atom) = -7.151
- DOS at the Fermi energy (states/eV per cell) = 7.8

```
Ho3Si2Rh5
1.0
-0.888 0.924 3.291
-9.552 0.493 -2.716
-1.170 -9.584 2.376
Si Ho Rh
4 6 10
Direct
0.000 0.377 0.123
0.000 0.877 0.377
0.000 0.623 0.877
0.000 0.123 0.623
0.000 0.826 0.674
0.000 0.174 0.326
0.000 0.326 0.826
0.000 0.000 0.000
0.000 0.674 0.174
0.000 0.500 0.500
0.500 0.500 0.000
0.500 0.430 0.279
0.500 0.221 0.070
0.500 0.570 0.721
0.500 0.721 0.430
0.500 0.279 0.570
0.500 0.070 0.779
0.500 0.000 0.500
0.500 0.930 0.221
0.500 0.779 0.930
```

=====

No. 13
Computed, not measured: HoSi2Rh after structural relaxation at the PBE-GGA level of DFT.

Calculated values
- DFT total energy (eV/atom) = -6.612
- DOS at the Fermi energy (states/eV per cell) = 2.3

```
HoSi2Rh
1.0
5.646 0.045 0.000
-2.641 4.928 0.000
-1.503 -2.487 5.066
Rh Ho Si
2 2 4
Direct
0.780 0.030 0.560
0.220 0.970 0.440
0.123 0.373 0.246
0.877 0.627 0.754
0.701 0.610 0.212
0.489 0.898 0.788
0.511 0.102 0.212
0.299 0.390 0.788
```

=====

No. 14
Computed, not measured: Ho3Si3Rh2 after structural relaxation at the PBE-GGA level of DFT.

Calculated values
- DFT total energy (eV/atom) = -6.553
- DOS at the Fermi energy (states/eV per cell) = 19.1
- energy relative to the lowest polymorph listed for this composition (meV per atom) = 42

```
Ho3Si3Rh2
1.0
5.633 0.000 0.000
0.000 7.939 0.000
0.000 0.000 13.910
Si Ho Rh
12 12 8
Direct
0.372 0.699 0.540
0.628 0.301 0.460
0.600 0.340 0.750
0.900 0.840 0.750
0.100 0.160 0.250
0.372 0.699 0.960
0.128 0.199 0.960
0.128 0.199 0.540
0.628 0.301 0.040
0.872 0.801 0.040
0.872 0.801 0.460
0.400 0.660 0.250
0.622 0.044 0.886
0.378 0.956 0.386
0.627 0.307 0.250
0.878 0.544 0.886
0.127 0.193 0.750
0.122 0.456 0.114
0.378 0.956 0.114
0.122 0.456 0.386
0.873 0.807 0.250
0.373 0.693 0.750
0.622 0.044 0.614
0.878 0.544 0.614
0.890 0.084 0.408
0.610 0.584 0.092
0.110 0.916 0.908
0.890 0.084 0.092
0.390 0.416 0.592
0.610 0.584 0.408
0.390 0.416 0.908
0.110 0.916 0.592
```

=====

No. 15
Computed, not measured: HoSi3Rh2 after structural relaxation at the PBE-GGA level of DFT.

Calculated values
- DFT total energy (eV/atom) = -6.711
- DOS at the Fermi energy (states/eV per cell) = 5.1

```
HoSi3Rh2
1.0
-1.946 3.469 -4.399
2.548 -3.255 -3.694
-4.411 -3.941 0.430
Rh Ho Si
4 2 6
Direct
0.215 0.500 0.785
0.785 0.000 0.215
0.215 0.000 0.785
0.785 0.500 0.215
0.335 0.250 0.335
0.665 0.750 0.665
0.555 0.250 0.848
0.039 0.750 0.039
0.961 0.250 0.961
0.848 0.250 0.555
0.445 0.750 0.152
0.152 0.750 0.445
```

=====

No. 16
Computed, not measured: Ho4Si6Rh7 after structural relaxation at the PBE-GGA level of DFT.

Calculated values
- DFT total energy (eV/atom) = -7.067
- DOS at the Fermi energy (states/eV per cell) = 9.6

```
Ho4Si6Rh7
1.0
-4.090 -4.865 -3.293
6.480 -2.777 1.241
-3.031 1.854 6.214
Si Rh Ho
6 7 4
Direct
0.000 0.329 0.329
0.000 0.671 0.671
0.671 0.671 0.000
0.329 0.000 0.329
0.671 0.000 0.671
0.329 0.329 0.000
0.250 0.500 0.750
0.500 0.250 0.750
0.500 0.750 0.250
0.750 0.250 0.500
0.250 0.750 0.500
0.000 0.000 0.000
0.750 0.500 0.250
0.000 0.500 0.000
0.500 0.500 0.500
0.000 0.000 0.500
0.500 0.000 0.000
```

=====

no.,raw formation energy (eV/atom)
1,-1.007
2,-0.466
3,-0.847
4,-0.939
5,-0.978
6,-0.907
7,-1.038
8,-0.887
9,-1.025
10,-0.841
11,-0.833
12,-1.017
13,-0.918
14,-0.965
15,-0.786
16,-1.049